(1)
This record from Alexandria via LeMat-Bulk describes K2YW at its PBEsol-relaxed geometry. The functional is SCAN.

Unit cell a=6.205 b=13.298 c=3.024 alpha=90.00 beta=118.21 gamma=90.00
Space group C2/m (No. 12)
Asymmetric unit:
K (0.250, 0.250, 0.000) (multiplicity 4)
Y (0.000, 0.000, 0.500) (multiplicity 2)
W (0.000, 0.500, 0.500) (multiplicity 2)

Results
Size of the total moment in Bohr magnetons per cell: 0.000
DOS(E_F) in states/eV/cell: 6.383
Energy relative to the elements in kcal/mol of atoms: 31.2

(2)
This record from Alexandria via LeMat-Bulk describes KYW2 at its PBEsol-relaxed geometry. The functional is SCAN.

Unit cell a=3.876 b=3.876 c=5.307 alpha=90.00 beta=90.00 gamma=90.00
Space group P4/mmm (No. 123)
Asymmetric unit:
K (0.000, 0.000, 0.000) (multiplicity 1)
Y (0.500, 0.500, 0.000) (multiplicity 1)
W (0.000, 0.500, 0.500) (multiplicity 2)

Results
Relative energy among the computed polymorphs in eV per atom: 0.708
Size of the total moment in Bohr magnetons per cell: 0.000
DOS(E_F) in states/eV/cell: 2.255
Energy relative to the elements in kcal/mol of atoms: 32.6

(3)
This record from Alexandria via LeMat-Bulk describes KY2W at its PBEsol-relaxed geometry. The functional is SCAN.

Unit cell a=7.359 b=7.359 c=7.359 alpha=90.00 beta=90.00 gamma=90.00
Space group Fm-3m (No. 225)
Asymmetric unit:
K (0.000, 0.000, 0.000) (multiplicity 4)
Y (0.250, 0.250, 0.250) (multiplicity 8)
W (0.000, 0.000, 0.500) (multiplicity 4)

Results
Relative energy among the computed polymorphs in eV per atom: 0.344
Size of the total moment in Bohr magnetons per cell: 2.941
DOS(E_F) in states/eV/cell: 24.627
Energy relative to the elements in kcal/mol of atoms: 24.9

(4)
This record from Alexandria via LeMat-Bulk describes K2YZrW at its PBEsol-relaxed geometry. The functional is SCAN.

Unit cell a=5.624 b=5.624 c=5.259 alpha=90.00 beta=90.00 gamma=90.00
Space group P4/mmm (No. 123)
Asymmetric unit:
K (0.000, 0.500, 0.000) (multiplicity 2)
Y (0.000, 0.000, 0.000) (multiplicity 1)
Zr (0.000, 0.000, 0.500) (multiplicity 1)
W (0.500, 0.500, 0.500) (multiplicity 1)

Results
Size of the total moment in Bohr magnetons per cell: 3.791
DOS(E_F) in states/eV/cell: 5.422
Energy relative to the elements in kcal/mol of atoms: 56.7

(5)
This record from Alexandria via LeMat-Bulk describes KZn2W at its PBEsol-relaxed geometry. The functional is SCAN.

Unit cell a=2.727 b=2.727 c=9.752 alpha=90.00 beta=90.00 gamma=90.00
Space group P4/mmm (No. 123)
Asymmetric unit:
K (0.000, 0.000, 0.000) (multiplicity 1)
Zn (0.500, 0.500, 0.293) (multiplicity 2)
W (0.000, 0.000, 0.500) (multiplicity 1)

Results
Relative energy among the computed polymorphs in eV per atom: 0.000
Size of the total moment in Bohr magnetons per cell: 0.000
DOS(E_F) in states/eV/cell: 2.441
Energy relative to the elements in kcal/mol of atoms: 12.6

(6)
This record from Alexandria via LeMat-Bulk describes KZnW2 at its PBEsol-relaxed geometry. The functional is SCAN.

Unit cell a=2.636 b=4.007 c=7.981 alpha=90.00 beta=90.00 gamma=90.00
Space group Pmm2 (No. 25)
Asymmetric unit:
K (0.000, 0.000, 0.000) (multiplicity 1)
Zn (0.500, 0.500, 0.687) (multiplicity 1)
W (0.000, 0.000, 0.514) (multiplicity 1)
W (0.500, 0.500, 0.345) (multiplicity 1)

Results
Size of the total moment in Bohr magnetons per cell: 0.000
DOS(E_F) in states/eV/cell: 2.115
Energy relative to the elements in kcal/mol of atoms: 18.2

(7)
This record from Alexandria via LeMat-Bulk describes KZnW2 at its PBEsol-relaxed geometry. The functional is SCAN.

Unit cell a=2.627 b=4.936 c=11.374 alpha=90.00 beta=90.00 gamma=90.00
Space group Immm (No. 71)
Asymmetric unit:
K (0.000, 0.000, 0.000) (multiplicity 2)
Zn (0.000, 0.000, 0.500) (multiplicity 2)
W (0.000, 0.500, 0.212) (multiplicity 4)

Results
Size of the total moment in Bohr magnetons per cell: 0.000
DOS(E_F) in states/eV/cell: 3.667
Energy relative to the elements in kcal/mol of atoms: 21.7

(8)
This record from Alexandria via LeMat-Bulk describes KZn2W at its PBEsol-relaxed geometry. The functional is SCAN.

Unit cell a=3.935 b=3.935 c=9.473 alpha=90.00 beta=90.00 gamma=90.00
Space group I-4m2 (No. 119)
Asymmetric unit:
K (0.000, 0.000, 0.000) (multiplicity 2)
Zn (0.000, 0.000, 0.500) (multiplicity 2)
Zn (0.000, 0.500, 0.750) (multiplicity 2)
W (0.000, 0.500, 0.250) (multiplicity 2)

Results
Relative energy among the computed polymorphs in eV per atom: 0.822
Size of the total moment in Bohr magnetons per cell: 2.899
DOS(E_F) in states/eV/cell: 3.012
Energy relative to the elements in kcal/mol of atoms: 31.6

(9)
This record from Alexandria via LeMat-Bulk describes K3ZnW at its PBEsol-relaxed geometry. The functional is SCAN.

Unit cell a=6.710 b=6.710 c=6.710 alpha=90.00 beta=90.00 gamma=90.00
Space group Pm-3m (No. 221)
Asymmetric unit:
K (0.000, 0.000, 0.500) (multiplicity 3)
Zn (0.500, 0.500, 0.500) (multiplicity 1)
W (0.000, 0.000, 0.000) (multiplicity 1)

Results
Size of the total moment in Bohr magnetons per cell: 6.730
DOS(E_F) in states/eV/cell: 2.532
Energy relative to the elements in kcal/mol of atoms: 36.2

(10)
This record from Alexandria via LeMat-Bulk describes KZnW2 at its PBEsol-relaxed geometry. The functional is SCAN.

Unit cell a=2.657 b=4.247 c=7.675 alpha=90.00 beta=90.00 gamma=90.00
Space group Pmmm (No. 47)
Asymmetric unit:
K (0.000, 0.000, 0.000) (multiplicity 1)
Zn (0.000, 0.000, 0.500) (multiplicity 1)
W (0.500, 0.500, 0.345) (multiplicity 2)

Results
Size of the total moment in Bohr magnetons per cell: 0.000
DOS(E_F) in states/eV/cell: 2.082
Energy relative to the elements in kcal/mol of atoms: 26.9

(11)
This record from Alexandria via LeMat-Bulk describes KZr2W at its PBEsol-relaxed geometry. The functional is SCAN.

Unit cell a=9.781 b=2.812 c=7.582 alpha=90.00 beta=91.84 gamma=90.00
Space group Cm (No. 8)
Asymmetric unit:
K (0.000, 0.000, 0.000) (multiplicity 2)
Zr (0.001, 0.500, 0.544) (multiplicity 2)
Zr (0.261, 0.500, 0.345) (multiplicity 2)
W (0.241, 0.000, 0.673) (multiplicity 2)

Results
Size of the total moment in Bohr magnetons per cell: 0.005
DOS(E_F) in states/eV/cell: 10.501
Energy relative to the elements in kcal/mol of atoms: 21.6

(12)
This record from Alexandria via LeMat-Bulk describes KY3 at its PBEsol-relaxed geometry. The functional is SCAN.

Unit cell a=3.468 b=5.840 c=6.968 alpha=90.00 beta=90.00 gamma=90.00
Space group Pmm2 (No. 25)
Asymmetric unit:
K (0.000, 0.000, 0.000) (multiplicity 1)
Y (0.000, 0.500, 0.332) (multiplicity 1)
Y (0.500, 0.000, 0.498) (multiplicity 1)
Y (0.500, 0.500, 0.760) (multiplicity 1)

Results
Size of the total moment in Bohr magnetons per cell: 1.568
DOS(E_F) in states/eV/cell: 5.121
Energy relative to the elements in kcal/mol of atoms: 9.7

(13)
This record from Alexandria via LeMat-Bulk describes K4Y at its PBEsol-relaxed geometry. The functional is SCAN.

Unit cell a=9.086 b=9.086 c=9.086 alpha=90.00 beta=90.00 gamma=90.00
Space group Im-3m (No. 229)
Asymmetric unit:
K (0.250, 0.250, 0.250) (multiplicity 8)
Y (0.000, 0.000, 0.000) (multiplicity 2)

Results
Size of the total moment in Bohr magnetons per cell: 4.806
DOS(E_F) in states/eV/cell: 15.282
Energy relative to the elements in kcal/mol of atoms: 15.3

(14)
This record from Alexandria via LeMat-Bulk describes KY2 at its PBEsol-relaxed geometry. The functional is SCAN.

Unit cell a=3.452 b=20.030 c=6.291 alpha=90.00 beta=90.00 gamma=90.00
Space group Cmcm (No. 63)
Asymmetric unit:
K (0.000, 0.116, 0.250) (multiplicity 4)
Y (0.000, 0.215, 0.750) (multiplicity 4)
Y (0.000, 0.443, 0.250) (multiplicity 4)

Results
Size of the total moment in Bohr magnetons per cell: 3.407
DOS(E_F) in states/eV/cell: 12.990
Energy relative to the elements in kcal/mol of atoms: 12.4

(15)
This record from Alexandria via LeMat-Bulk describes KYZn4 at its PBEsol-relaxed geometry. The functional is SCAN.

Unit cell a=7.781 b=7.781 c=7.781 alpha=90.00 beta=90.00 gamma=90.00
Space group F-43m (No. 216)
Asymmetric unit:
K (0.000, 0.000, 0.000) (multiplicity 4)
Y (0.250, 0.250, 0.750) (multiplicity 4)
Zn (0.124, 0.124, 0.376) (multiplicity 16)

Results
Size of the total moment in Bohr magnetons per cell: 0.000
DOS(E_F) in states/eV/cell: 16.754
Energy relative to the elements in kcal/mol of atoms: -0.9

(16)
This record from Alexandria via LeMat-Bulk describes K2YZn at its PBEsol-relaxed geometry. The functional is SCAN.

Unit cell a=6.722 b=12.131 c=3.587 alpha=90.00 beta=90.00 gamma=90.00
Space group Cmmm (No. 65)
Asymmetric unit:
K (0.250, 0.250, 0.000) (multiplicity 4)
Y (0.000, 0.000, 0.500) (multiplicity 2)
Zn (0.000, 0.500, 0.500) (multiplicity 2)

Results
Size of the total moment in Bohr magnetons per cell: 1.907
DOS(E_F) in states/eV/cell: 7.773
Energy relative to the elements in kcal/mol of atoms: 12.6

(17)
This record from Alexandria via LeMat-Bulk describes K2YZn at its PBEsol-relaxed geometry. The functional is SCAN.

Unit cell a=3.840 b=5.319 c=6.522 alpha=90.00 beta=90.00 gamma=90.00
Space group Pmmm (No. 47)
Asymmetric unit:
K (0.000, 0.000, 0.000) (multiplicity 1)
K (0.500, 0.500, 0.000) (multiplicity 1)
Y (0.000, 0.500, 0.500) (multiplicity 1)
Zn (0.500, 0.000, 0.500) (multiplicity 1)

Results
Size of the total moment in Bohr magnetons per cell: 0.019
DOS(E_F) in states/eV/cell: 3.540
Energy relative to the elements in kcal/mol of atoms: 9.8

(18)
This record from Alexandria via LeMat-Bulk describes KY2Zr at its PBEsol-relaxed geometry. The functional is SCAN.

Unit cell a=3.267 b=5.397 c=7.843 alpha=90.00 beta=101.67 gamma=90.00
Space group Pm (No. 6)
Asymmetric unit:
K (0.000, 0.000, 0.000) (multiplicity 1)
Y (0.651, 0.500, 0.310) (multiplicity 1)
Y (0.760, 0.000, 0.535) (multiplicity 1)
Zr (0.323, 0.500, 0.665) (multiplicity 1)

Results
Relative energy among the computed polymorphs in eV per atom: 0.000
Size of the total moment in Bohr magnetons per cell: 0.131
DOS(E_F) in states/eV/cell: 5.298
Energy relative to the elements in kcal/mol of atoms: 12.7

(19)
This record from Alexandria via LeMat-Bulk describes KY2Zr at its PBEsol-relaxed geometry. The functional is SCAN.

Unit cell a=11.482 b=3.291 c=6.857 alpha=90.00 beta=96.13 gamma=90.00
Space group Cm (No. 8)
Asymmetric unit:
K (0.000, 0.000, 0.000) (multiplicity 2)
Y (0.010, 0.500, 0.525) (multiplicity 2)
Y (0.261, 0.500, 0.290) (multiplicity 2)
Zr (0.243, 0.000, 0.681) (multiplicity 2)

Results
Relative energy among the computed polymorphs in eV per atom: 0.023
Size of the total moment in Bohr magnetons per cell: 0.653
DOS(E_F) in states/eV/cell: 9.470
Energy relative to the elements in kcal/mol of atoms: 13.2

(20)
This record from Alexandria via LeMat-Bulk describes KYZr3 at its PBEsol-relaxed geometry. The functional is SCAN.

Unit cell a=5.348 b=5.348 c=5.348 alpha=90.00 beta=90.00 gamma=90.00
Space group Pm-3m (No. 221)
Asymmetric unit:
K (0.000, 0.000, 0.000) (multiplicity 1)
Y (0.500, 0.500, 0.500) (multiplicity 1)
Zr (0.000, 0.500, 0.500) (multiplicity 3)

Results
Size of the total moment in Bohr magnetons per cell: 3.913
DOS(E_F) in states/eV/cell: 3.834
Energy relative to the elements in kcal/mol of atoms: 32.9

(21)
This record from Alexandria via LeMat-Bulk describes KZn2 at its PBEsol-relaxed geometry. The functional is SCAN.

Unit cell a=12.460 b=4.331 c=6.721 alpha=90.00 beta=120.40 gamma=90.00
Space group C2/m (No. 12)
Asymmetric unit:
K (0.106, 0.000, 0.297) (multiplicity 4)
Zn (0.102, 0.500, 0.691) (multiplicity 4)
Zn (0.215, 0.000, 0.891) (multiplicity 4)

Results
Size of the total moment in Bohr magnetons per cell: 0.000
DOS(E_F) in states/eV/cell: 5.603
Energy relative to the elements in kcal/mol of atoms: 0.1

(22)
This record from Alexandria via LeMat-Bulk describes KZn at its PBEsol-relaxed geometry. The functional is SCAN.

Unit cell a=7.575 b=7.575 c=7.575 alpha=90.00 beta=90.00 gamma=90.00
Space group F-43m (No. 216)
Asymmetric unit:
K (0.000, 0.000, 0.000) (multiplicity 4)
Zn (0.250, 0.250, 0.750) (multiplicity 4)

Results
Size of the total moment in Bohr magnetons per cell: 3.025
DOS(E_F) in states/eV/cell: 4.496
Energy relative to the elements in kcal/mol of atoms: 13.3

(23)
This record from Alexandria via LeMat-Bulk describes KZn2 at its PBEsol-relaxed geometry. The functional is SCAN.

Unit cell a=3.459 b=3.559 c=11.936 alpha=90.00 beta=90.00 gamma=90.00
Space group Immm (No. 71)
Asymmetric unit:
K (0.000, 0.000, 0.000) (multiplicity 2)
Zn (0.000, 0.000, 0.279) (multiplicity 4)

Results
Size of the total moment in Bohr magnetons per cell: 0.000
DOS(E_F) in states/eV/cell: 2.243
Energy relative to the elements in kcal/mol of atoms: 3.0

(24)
This record from Alexandria via LeMat-Bulk describes KZn2 at its PBEsol-relaxed geometry. The functional is SCAN.

Unit cell a=4.533 b=4.533 c=15.429 alpha=90.00 beta=90.00 gamma=90.00
Space group I4_1/amd (No. 141, origin choice 2)
Asymmetric unit:
K (0.000, 0.250, 0.375) (multiplicity 4)
Zn (0.000, 0.250, 0.791) (multiplicity 8)

Results
Size of the total moment in Bohr magnetons per cell: 0.000
DOS(E_F) in states/eV/cell: 5.500
Energy relative to the elements in kcal/mol of atoms: 2.5

(25)
This record from Alexandria via LeMat-Bulk describes KZn13 at its PBEsol-relaxed geometry. The functional is SCAN.

Unit cell a=12.085 b=12.085 c=12.085 alpha=90.00 beta=90.00 gamma=90.00
Space group Fm-3c (No. 226)
Asymmetric unit:
K (0.250, 0.250, 0.250) (multiplicity 8)
Zn (0.000, 0.000, 0.000) (multiplicity 8)
Zn (0.000, 0.119, 0.180) (multiplicity 96)

Results
Size of the total moment in Bohr magnetons per cell: 0.000
DOS(E_F) in states/eV/cell: 16.743
Energy relative to the elements in kcal/mol of atoms: -2.7

(26)
This record from Alexandria via LeMat-Bulk describes K5Zn at its PBEsol-relaxed geometry. The functional is SCAN.

Unit cell a=4.334 b=4.334 c=17.920 alpha=90.00 beta=90.00 gamma=90.00
Space group P4/mmm (No. 123)
Asymmetric unit:
K (0.000, 0.000, 0.000) (multiplicity 1)
K (0.000, 0.000, 0.391) (multiplicity 2)
K (0.500, 0.500, 0.197) (multiplicity 2)
Zn (0.500, 0.500, 0.500) (multiplicity 1)

Results
Relative energy among the computed polymorphs in eV per atom: 0.000
Size of the total moment in Bohr magnetons per cell: 0.015
DOS(E_F) in states/eV/cell: 4.331
Energy relative to the elements in kcal/mol of atoms: 2.2

(27)
This record from Alexandria via LeMat-Bulk describes K5Zn at its PBEsol-relaxed geometry. The functional is SCAN.

Unit cell a=15.274 b=4.417 c=10.933 alpha=90.00 beta=113.38 gamma=90.00
Space group Cm (No. 8)
Asymmetric unit:
K (0.000, 0.000, 0.000) (multiplicity 2)
K (0.041, 0.000, 0.401) (multiplicity 2)
K (0.167, 0.500, 0.777) (multiplicity 2)
K (0.292, 0.000, 0.155) (multiplicity 2)
K (0.334, 0.000, 0.557) (multiplicity 2)
Zn (0.167, 0.500, 0.279) (multiplicity 2)

Results
Relative energy among the computed polymorphs in eV per atom: 0.002
Size of the total moment in Bohr magnetons per cell: 0.000
DOS(E_F) in states/eV/cell: 7.741
Energy relative to the elements in kcal/mol of atoms: 2.2

(28)
This record from Alexandria via LeMat-Bulk describes KZn at its PBEsol-relaxed geometry. The functional is SCAN.

Unit cell a=4.3874 b=4.3874 c=26.6448 alpha=90.00 beta=90.00 gamma=120.00
Space group R-3m (No. 166, hexagonal axes)
Asymmetric unit:
K (0.0000, 0.0000, 0.0904) (multiplicity 6)
Zn (0.0000, 0.0000, 0.3333) (multiplicity 6)

Results
Size of the total moment in Bohr magnetons per cell: 0.018
DOS(E_F) in states/eV/cell: 6.631
Energy relative to the elements in kcal/mol of atoms: 1.1